DFT (GGA-PBEsol) results for an optimized crystal structure of Nb3CuRe.

abc: 4.5264 4.5264 4.5264
angles: 90.00 90.00 90.00
Closest atoms and distances in Å follow each position.
Space group Pm-3m (No. 221)
Unique sites:
Nb 0.0000 0.0000 0.5000 x3  2 Cu 2.26
Cu 0.0000 0.0000 0.0000 x1  6 Nb 2.26
Re 0.5000 0.5000 0.5000 x1  12 Nb 3.20

energy = -42.78 eV for the cell shown
formation enthalpy at 0 K = 1469 meV/atom

***

DFT (GGA-PBEsol) results for an optimized crystal structure of Sc2ReTc.

abc: 3.1774 4.3774 4.6947
angles: 90.00 90.00 90.00
Closest atoms and distances in Å follow each position.
Space group Pmmm (No. 47)
Unique sites:
Sc 0.0000 0.0000 0.0000 x1  4 Tc 2.70, 4 Sc 2.83
Sc 0.5000 0.0000 0.5000 x1  4 Re 2.70, 4 Sc 2.83
Re 0.0000 0.5000 0.5000 x1  4 Sc 2.70, 4 Tc 2.83
Tc 0.5000 0.5000 0.0000 x1  4 Sc 2.70, 4 Re 2.83

energy = -37.74 eV for the cell shown
formation enthalpy at 0 K = 16 meV/atom

***

DFT (GGA-PBEsol) results for an optimized crystal structure of TiCrW2Se.

abc: 4.6231 4.6231 4.5987
angles: 90.00 90.00 90.00
Closest atoms and distances in Å follow each position.
Space group P4/mmm (No. 123)
Unique sites:
Ti 0.0000 0.0000 0.0000 x1  2 Se 2.30, 4 W 2.31
Cr 0.5000 0.5000 0.5000 x1  8 W 3.26, 4 Se 3.27
W 0.0000 0.5000 0.0000 x2  2 Ti 2.31
Se 0.0000 0.0000 0.5000 x1  2 Ti 2.30

energy = -40.69 eV for the cell shown
raw formation energy = 1868 meV/atom

***

DFT (GGA-PBEsol) results for an optimized crystal structure of NiRu2Pt.

abc: 2.6709 3.6900 5.3071
angles: 90.00 90.00 90.00
Closest atoms and distances in Å follow each position.
Space group Pmm2 (No. 25)
Unique sites:
Ni 0.0000 0.0000 0.0000 x1  6 Ru 2.54-2.77, 4 Pt 2.62, 2 Ni 2.67
Ru 0.0000 0.0000 0.5213 x1  2 Ni 2.54-2.77, 6 Ru 2.59-2.67, 4 Pt 2.71
Ru 0.5000 0.5000 0.7526 x1  6 Ru 2.59-2.67, 2 Pt 2.61-2.70, 4 Ni 2.63
Pt 0.5000 0.5000 0.2443 x1  6 Ru 2.61-2.71, 4 Ni 2.62, 2 Pt 2.67

energy = -33.42 eV for the cell shown
formation enthalpy at 0 K = 12 meV/atom